K2Tl4I3Cl2 | PBE-GGA | optimized geometry

a b c (Å): 6.142 6.142 13.662
angles (deg): 102.99 102.99 90.00
Fractional coordinates of all 11 atoms:
K (0.695, 0.695, 0.391)
K (0.305, 0.305, 0.609)
I (0.173, 0.173, 0.346)
I (0.000, 0.000, 0.000)
I (0.827, 0.827, 0.654)
Tl (0.572, 0.072, 0.144)
Tl (0.928, 0.428, 0.856)
Tl (0.072, 0.572, 0.144)
Tl (0.428, 0.928, 0.856)
Cl (0.420, 0.420, 0.839)
Cl (0.580, 0.580, 0.161)

## Properties
D(E_F) in states/eV per cell: 4.36
Formation energy from raw total energies in eV per atom: -0.859
Crystal system: tetragonal

---

K2UI2Cl4 | PBE-GGA | optimized geometry

a b c (Å): 8.252 7.778 7.778
angles (deg): 57.85 64.01 64.01
Fractional coordinates of all 9 atoms:
I (0.154, 0.236, 0.236)
I (0.846, 0.764, 0.764)
Cl (0.357, 0.173, 0.685)
Cl (0.643, 0.315, 0.827)
Cl (0.643, 0.827, 0.315)
Cl (0.357, 0.685, 0.173)
K (0.297, 0.747, 0.747)
K (0.703, 0.253, 0.253)
U (0.500, 0.000, 0.000)

## Properties
D(E_F) in states/eV per cell: 4.31
Formation energy from raw total energies in eV per atom: -1.632
Crystal system: monoclinic

---

K2VICl6 | PBE-GGA | optimized geometry

a b c (Å): 7.003 7.093 8.867
angles (deg): 65.98 64.83 57.90
Fractional coordinates of all 10 atoms:
K (0.492, 0.494, 0.464)
K (0.966, 0.952, 0.120)
I (0.827, 0.840, 0.570)
Cl (0.212, 0.262, 0.821)
Cl (0.265, 0.696, 0.803)
Cl (0.413, 0.980, 0.158)
Cl (0.968, 0.476, 0.159)
Cl (0.709, 0.206, 0.805)
Cl (0.467, 0.416, 0.142)
V (0.342, 0.339, 0.973)

## Properties
D(E_F) in states/eV per cell: 2.82
Formation energy from raw total energies in eV per atom: -1.266
Crystal system: triclinic

---

KYICl2 | PBE-GGA | optimized geometry

a b c (Å): 5.351 5.351 6.146
angles (deg): 90.00 90.00 90.00
Fractional coordinates of all 5 atoms:
Cl (0.500, 0.000, 0.000)
Cl (0.000, 0.500, 0.000)
Y (0.000, 0.000, 0.000)
K (0.500, 0.500, 0.500)
I (0.000, 0.000, 0.500)

## Properties
D(E_F) in states/eV per cell: 2.98
Formation energy from raw total energies in eV per atom: -1.617
Crystal system: tetragonal

---

KYI2Cl | PBE-GGA | optimized geometry

a b c (Å): 6.109 6.109 5.300
angles (deg): 90.00 90.00 90.00
Fractional coordinates of all 5 atoms:
I (0.000, 0.500, 0.000)
I (0.500, 0.000, 0.000)
Y (0.000, 0.000, 0.000)
Cl (0.000, 0.000, 0.500)
K (0.500, 0.500, 0.500)

## Properties
D(E_F) in states/eV per cell: 2.66
Formation energy from raw total energies in eV per atom: -1.399
Crystal system: tetragonal

---

K2ZnICl | PBE-GGA | optimized geometry

a b c (Å): 6.070 5.866 6.070
angles (deg): 90.00 90.00 90.00
Fractional coordinates of all 5 atoms:
I (0.500, 0.500, 0.500)
K (0.000, 0.000, 0.500)
K (0.500, 0.000, 0.000)
Cl (0.000, 0.000, 0.000)
Zn (0.000, 0.500, 0.000)

## Properties
D(E_F) in states/eV per cell: 0.00
Formation energy from raw total energies in eV per atom: -0.979
Crystal system: tetragonal

---

KZnI2Cl | PBE-GGA | optimized geometry

a b c (Å): 5.813 5.813 4.894
angles (deg): 90.00 90.00 90.00
Fractional coordinates of all 5 atoms:
Cl (0.000, 0.000, 0.500)
K (0.500, 0.500, 0.500)
Zn (0.000, 0.000, 0.000)
I (0.000, 0.500, 0.000)
I (0.500, 0.000, 0.000)

## Properties
D(E_F) in states/eV per cell: 0.76
Formation energy from raw total energies in eV per atom: -0.963
Crystal system: tetragonal

---

LaICl | PBE-GGA | optimized geometry

a b c (Å): 4.179 4.179 7.736
angles (deg): 90.00 90.00 120.00
Fractional coordinates of all 3 atoms:
I (0.000, 0.000, 0.077)
Cl (0.333, 0.667, 0.569)
La (0.667, 0.333, 0.353)

## Properties
D(E_F) in states/eV per cell: 2.33
Formation energy from raw total energies in eV per atom: -1.703
Relative energy among the computed polymorphs in kcal/mol of atoms: 0.38
Crystal system: trigonal